No. 1
## Ta4BTe8 (PBEsol)

Data for crystalline Ta4BTe8 at its relaxed geometry.

Lattice parameters (Å, degrees): 11.2876 16.8496 3.5269 90.00 90.00 90.00
Last column: nearest neighbours and their distance in Å.
Space group Pbam (No. 55)
Inequivalent atoms, fractional coordinates:
Ta  0.0779  0.0699  0.0000  2 B 2.30
Ta  0.1570  0.9223  0.5000  1 B 2.20
B  0.0000  0.0000  0.5000  6 Ta 2.20-2.30
Te  0.0811  0.8064  0.0000  3 Ta 2.75-2.77
Te  0.1298  0.3246  0.5000  1 Te 2.79, 1 Ta 2.92
Te  0.1938  0.5025  0.0000  3 Ta 2.79-2.82
Te  0.2137  0.1685  0.5000  1 Te 2.79, 2 Ta 2.87

## Properties
**Raw formation energy**: -429 meV/atom

No. 2
## MnTl2W2 (PBEsol)

Data for crystalline MnTl2W2 at its relaxed geometry.

Lattice parameters (Å, degrees): 3.6731 3.6731 14.7585 90.00 90.00 90.00
Last column: nearest neighbours and their distance in Å.
Space group I4/mmm (No. 139)
Inequivalent atoms, fractional coordinates:
Mn  0.0000  0.0000  0.0000  8 Tl 2.97
Tl  0.0000  0.0000  0.4024  1 Tl 2.88, 4 W 2.90, 4 Mn 2.97
W  0.0000  0.5000  0.2500  4 W 2.60, 4 Tl 2.90

## Properties
**ΔE_f**: 5.49 eV/f.u.

No. 3
## Mn2ZnSi (PBEsol)

Data for crystalline Mn2ZnSi at its relaxed geometry.

Lattice parameters (Å, degrees): 2.8409 3.9596 8.1084 90.00 90.00 90.00
Last column: nearest neighbours and their distance in Å.
Space group Imm2 (No. 44)
Inequivalent atoms, fractional coordinates:
Mn  0.0000  0.0000  0.0000  2 Mn 2.38, 2 Si 2.40, 4 Zn 2.44
Mn  0.0000  0.5000  0.2640  2 Mn 2.38, 4 Si 2.45, 2 Zn 2.56
Zn  0.0000  0.0000  0.5018  6 Mn 2.44-2.56, 2 Si 2.56
Si  0.0000  0.5000  0.7384  6 Mn 2.40-2.45, 2 Zn 2.56

## Properties
**Raw formation energy**: -33 meV/atom

What is the formula in the second record? MnTl2W2